This record from Alexandria describes crystalline La4HgTeC at its relaxed geometry. The functional is PBE.

Structure (POSCAR):
```
La4HgTeC
1.0
3.6410 -8.1136 0.0000
3.6410 8.1136 0.0000
0.0000 0.0000 7.2789
La Hg Te C
8 2 2 2
Cartesian
1.8205 4.0568 0.0000 La
1.8205 4.0568 3.6395 La
3.6410 6.7506 5.4592 La
3.6410 1.4882 5.4592 La
1.8205 -4.0568 0.0000 La
1.8205 -4.0568 3.6395 La
3.6410 -1.4882 1.8197 La
3.6410 -6.7506 1.8197 La
3.6410 6.2516 1.8197 Hg
3.6410 -6.2516 5.4592 Hg
3.6410 1.8211 1.8197 Te
3.6410 -1.8211 5.4592 Te
3.6410 4.0192 5.4592 C
3.6410 -4.0192 1.8197 C
```

Calculated values
Its calculated density is 6.92 g/cm³. The value obtained for the formation energy without anion corrections is -0.597 eV/atom.